BiIrSe3 | PBE | relaxed

- space-group type = Pm-3m, No. 221
- theoretical density (Mg/m³) = 8.792
- raw formation energy (eV/atom) = 0.31
- E_tot (eV/atom) = -4.331
- polymorph energy (0 for the lowest one) (kcal/mol of atoms) = 0.000

```
5
Lattice="-2.103 3.353 2.956 -4.270 -2.473 -0.233 1.322 -2.654 3.951" Properties=species:S:1:pos:R:3 pbc="T T T"
Ir 0.000 0.000 0.000
Se 0.661 -1.327 1.975
Bi -2.525 -0.887 3.337
Se -2.135 -1.236 -0.116
Se -1.051 1.676 1.478
```

***

AcEuTe2 | PBE | relaxed

- space-group type = R-3m, No. 166
- theoretical density (Mg/m³) = 5.782
- raw formation energy (eV/atom) = -1.01
- E_tot (eV/atom) = -6.172
- polymorph energy (0 for the lowest one) (kcal/mol of atoms) = 9.831

```
4
Lattice="4.604 0.000 0.000 2.302 3.987 0.000 2.302 1.329 9.922" Properties=species:S:1:pos:R:3 pbc="T T T"
Te 2.302 1.329 6.767
Eu 4.604 2.658 4.961
Ac 0.000 0.000 0.000
Te 6.906 3.987 3.155
```

***

KHoTl2F6 | PBE | relaxed

- space-group type = P2_1/c, No. 14
- theoretical density (Mg/m³) = 5.914
- raw formation energy (eV/atom) = -2.95
- E_tot (eV/atom) = -5.109

```
20
Lattice="6.495 0.000 0.008 0.000 6.737 0.000 0.068 0.000 9.327" Properties=species:S:1:pos:R:3 pbc="T T T"
K 3.248 0.000 0.004
Tl 0.080 6.469 2.360
F 3.904 0.284 2.587
Tl 3.202 3.100 2.308
Tl 3.361 3.636 7.027
Ho 3.282 0.000 4.668
F 2.659 6.453 6.748
F 5.471 5.185 8.794
F 4.374 1.817 5.208
K 0.034 3.368 4.664
F 0.691 3.084 7.246
F 2.190 4.920 4.127
F 5.092 5.576 5.058
Tl 6.483 0.268 6.975
F 5.873 3.652 2.089
F 1.471 1.161 4.277
F 1.092 1.552 0.541
F 4.753 2.208 8.945
F 1.810 4.529 0.390
Ho 0.000 3.368 0.000
```

***

Ga3BPt | PBE | relaxed

- space-group type = Pm-3m, No. 221
- ΔH_f (0 K) (eV/atom) = 0.699
- theoretical density (Mg/m³) = 6.272
- E_tot (eV/atom) = -3.661
- polymorph energy (0 for the lowest one) (kcal/mol of atoms) = 8.750

```
5
Lattice="-1.321 3.372 3.135 -3.075 -3.074 2.010 3.427 -1.458 3.013" Properties=species:S:1:pos:R:3 pbc="T T T"
B -0.485 -0.580 4.079
Ga -0.661 1.686 1.568
Ga 1.713 -0.729 1.506
Pt 0.000 0.000 0.000
Ga -1.538 -1.537 1.005
```

***

HfCr3Se | PBE | relaxed

- space-group type = Pm-3m, No. 221
- theoretical density (Mg/m³) = 7.106
- raw formation energy (eV/atom) = 2.06
- E_tot (eV/atom) = -6.406
- polymorph energy (0 for the lowest one) (kcal/mol of atoms) = 32.423

```
5
Lattice="4.589 0.000 0.000 0.000 4.589 0.000 0.000 0.000 4.589" Properties=species:S:1:pos:R:3 pbc="T T T"
Se 2.294 2.294 2.294
Cr 0.000 2.294 0.000
Cr 0.000 0.000 2.294
Hf 0.000 0.000 0.000
Cr 2.294 0.000 0.000
```

***

CrTe2AsN | PBE | relaxed

- space-group type = P4/mmm, No. 123
- theoretical density (Mg/m³) = 6.014
- raw formation energy (eV/atom) = 1.29
- E_tot (eV/atom) = -4.485
- polymorph energy (0 for the lowest one) (kcal/mol of atoms) = 23.036

```
5
Lattice="5.521 0.000 0.000 0.000 5.521 0.000 0.000 0.000 3.589" Properties=species:S:1:pos:R:3 pbc="T T T"
Te 2.760 0.000 0.000
Cr 2.760 2.760 1.794
Te 0.000 2.760 0.000
As 0.000 0.000 0.000
N 0.000 0.000 1.794
```

***

Li4GaGe2 | PBE | relaxed

- space-group type = P2_1/m, No. 11
- ΔH_f (0 K) (eV/atom) = -0.221
- theoretical density (Mg/m³) = 3.297
- E_tot (eV/atom) = -3.067

```
14
Lattice="-6.570 0.928 -0.797 -0.756 -5.114 0.277 2.064 0.093 7.353" Properties=species:S:1:pos:R:3 pbc="T T T"
Ge -2.286 -3.415 3.269
Ga -1.584 -3.660 0.660
Li 1.047 -1.220 4.514
Li -3.290 0.532 1.181
Li -0.802 -1.082 2.020
Li -6.309 -2.872 2.319
Ga -3.678 -0.432 6.173
Li -1.599 -2.103 5.515
Ge -5.592 -3.109 -0.104
Li -1.972 -4.624 5.652
Li -3.663 -1.989 1.318
Ge 0.331 -0.983 6.937
Ge -2.976 -0.677 3.564
Li -4.460 -3.010 4.813
```

***

PuScCd | PBE | relaxed

- space-group type = P3m1, No. 156
- ΔH_f (0 K) (eV/atom) = 0.069
- theoretical density (Mg/m³) = 9.534
- E_tot (eV/atom) = -7.124
- polymorph energy (0 for the lowest one) (kcal/mol of atoms) = 2.197

```
3
Lattice="2.942 0.000 0.000 0.000 5.238 0.000 0.000 -2.619 4.536" Properties=species:S:1:pos:R:3 pbc="T T T"
Cd 1.962 2.619 1.512
Pu 0.492 0.000 0.000
Sc 0.487 0.000 3.024
```

***

RbTaHg | PBE | relaxed

- space-group type = C2/m, No. 12
- ΔH_f (0 K) (eV/atom) = 0.626
- theoretical density (Mg/m³) = 8.162
- E_tot (eV/atom) = -3.748
- polymorph energy (0 for the lowest one) (kcal/mol of atoms) = 6.365

```
6
Lattice="-1.306 -6.420 -7.100 5.349 -4.581 -2.351 -5.449 2.161 4.558" Properties=species:S:1:pos:R:3 pbc="T T T"
Rb -5.454 -2.999 -1.102
Ta 1.024 -8.689 -7.052
Ta -2.429 -0.150 2.158
Hg -2.158 -4.645 -2.760
Rb 4.048 -5.841 -3.792
Hg 0.752 -4.195 -2.135
```

***

B5C7 | PBE | relaxed

- space-group type = Pm, No. 6
- ΔH_f (0 K) (eV/atom) = 0.417
- theoretical density (Mg/m³) = 2.928
- E_tot (eV/atom) = -7.746
- polymorph energy (0 for the lowest one) (kcal/mol of atoms) = 3.664

```
12
Lattice="-2.283 -1.151 0.513 -0.851 -0.233 -4.307 3.006 -6.125 -0.364" Properties=species:S:1:pos:R:3 pbc="T T T"
C -0.079 -4.391 -3.572
C 0.759 -4.775 -0.705
C -0.104 -1.693 -4.257
C 1.432 -6.128 -0.747
B -0.886 -2.099 -2.021
B -0.837 -0.253 -4.291
C 1.431 -4.233 -3.127
B 0.835 -2.294 -1.429
B -0.828 -2.973 -3.722
B 1.388 -6.728 -2.287
C 2.101 -5.584 -3.175
C 1.517 -3.742 -1.642
```

***

HoTm4Sc3 | PBE | relaxed

- space-group type = C2/m, No. 12
- ΔH_f (0 K) (eV/atom) = 0.051
- theoretical density (Mg/m³) = 7.244
- E_tot (eV/atom) = -5.131
- polymorph energy (0 for the lowest one) (kcal/mol of atoms) = 0.840

```
8
Lattice="-6.377 -1.572 -1.762 4.907 -0.004 -4.718 5.516 -4.053 3.327" Properties=species:S:1:pos:R:3 pbc="T T T"
Ho 0.000 0.000 0.000
Tm 2.410 -2.443 0.045
Sc 4.848 -2.418 -2.298
Sc -0.735 -0.788 -3.240
Sc -0.801 -3.212 -0.854
Tm 1.593 -5.628 -0.794
Tm 1.637 -3.186 -3.197
Tm 7.235 -4.843 -2.272
```

***

Na5In2Pb12 | PBE | relaxed

- space-group type = C2/m, No. 12
- ΔH_f (0 K) (eV/atom) = -0.076
- theoretical density (Mg/m³) = 8.165
- E_tot (eV/atom) = -3.053

```
19
Lattice="-2.360 -1.084 -4.192 -9.397 -7.991 4.540 -12.493 1.237 3.896" Properties=species:S:1:pos:R:3 pbc="T T T"
Na -15.989 -5.040 4.634
Na -5.031 -1.660 0.403
Pb -7.934 0.003 1.598
In -11.705 -1.111 4.060
Pb -9.126 -2.851 3.017
Pb -4.294 -1.645 -2.925
Na -1.180 -0.542 -2.096
Pb -9.514 -5.618 1.070
In -10.184 -5.644 4.376
Pb -14.736 -2.221 3.174
Pb -17.848 -3.272 2.327
Pb -16.316 -7.842 2.646
Pb -19.955 -6.194 7.169
Pb -11.015 -1.142 0.757
Pb -6.401 -4.566 1.917
Na -19.218 -6.179 3.841
Na -8.261 -2.798 -0.390
Pb -15.123 -4.988 1.227
Pb -13.234 -6.697 3.487
```

***

PrSb2 | PBE | relaxed

- space-group type = C2/m, No. 12
- theoretical density (Mg/m³) = 7.208
- raw formation energy (eV/atom) = -0.67
- E_tot (eV/atom) = -5.008

```
3
Lattice="-1.299 -1.898 3.509 -2.851 -2.145 -2.208 5.398 -1.682 -1.393" Properties=species:S:1:pos:R:3 pbc="T T T"
Pr -2.075 -2.021 0.651
Sb 1.014 -1.099 -0.228
Sb 0.234 -4.626 0.136
```

***

SrMgSi | PBE | relaxed

- space-group type = Pnma, No. 62
- theoretical density (Mg/m³) = 3.039
- raw formation energy (eV/atom) = -0.40
- E_tot (eV/atom) = -3.299

```
12
Lattice="-1.819 -3.651 2.151 5.428 0.594 5.598 -5.110 5.145 4.409" Properties=species:S:1:pos:R:3 pbc="T T T"
Si 0.677 2.686 7.601
Mg -1.737 4.282 8.269
Sr -1.315 0.043 1.433
Sr -2.227 1.069 7.346
Mg -2.557 2.078 3.836
Sr 0.725 1.018 4.813
Si 1.975 -1.750 6.115
Sr -0.186 2.044 10.726
Mg 1.056 0.009 8.323
Si -2.178 -0.598 4.557
Si -3.476 3.838 6.044
Mg 0.235 -2.194 3.890
```

***

Sn2AuS2 | PBE | relaxed

- space-group type = P4/mbm, No. 127
- theoretical density (Mg/m³) = 6.850
- raw formation energy (eV/atom) = -0.06
- E_tot (eV/atom) = -3.970
- polymorph energy (0 for the lowest one) (kcal/mol of atoms) = 0.000

```
10
Lattice="-2.937 6.453 -3.623 -6.206 -0.023 4.989 1.931 2.233 2.412" Properties=species:S:1:pos:R:3 pbc="T T T"
S -3.391 1.987 3.888
Sn -6.716 5.102 0.652
S -6.261 5.208 3.202
Sn -3.359 4.557 -1.529
Sn -2.427 1.328 0.713
Au 0.000 0.000 0.000
Au -4.571 3.215 0.683
Sn -5.784 1.874 2.895
S -3.821 6.677 -0.110
S -0.951 3.455 0.576
```

***

Rb3Cu2PdBr6 | PBE | relaxed

- space-group type = P-3m1, No. 164
- theoretical density (Mg/m³) = 3.437
- raw formation energy (eV/atom) = -0.87
- E_tot (eV/atom) = -3.061

```
12
Lattice="7.834 0.000 0.000 -3.917 6.784 0.000 0.000 0.000 8.812" Properties=species:S:1:pos:R:3 pbc="T T T"
Cu 3.917 2.261 6.384
Rb 3.917 2.261 3.022
Cu 0.000 4.523 2.429
Br 3.917 4.606 6.178
Br -2.030 5.695 2.634
Br 2.030 5.695 2.634
Br 5.947 1.089 6.178
Rb 0.000 0.000 0.000
Rb 0.000 4.523 5.790
Br 0.000 2.178 2.634
Br 1.887 1.089 6.178
Pd 0.000 0.000 4.406
```

***

TaCdRu2 | PBE | relaxed

- space-group type = P2/m, No. 10
- ΔH_f (0 K) (eV/atom) = 0.203
- theoretical density (Mg/m³) = 12.630
- E_tot (eV/atom) = -7.627

```
4
Lattice="2.933 0.000 0.000 0.000 5.099 0.014 0.000 3.268 4.365" Properties=species:S:1:pos:R:3 pbc="T T T"
Ta 1.467 4.184 2.189
Cd 0.000 1.634 2.182
Ru 1.467 2.550 0.007
Ru 0.000 0.000 0.000
```

***

AsPtCl | PBE | relaxed

- space-group type = Fmm2, No. 42
- theoretical density (Mg/m³) = 7.660
- raw formation energy (eV/atom) = -0.08
- E_tot (eV/atom) = -4.262
- polymorph energy (0 for the lowest one) (kcal/mol of atoms) = 7.329

```
3
Lattice="-3.717 -2.828 5.072 -0.401 -3.460 5.531 -1.275 2.418 2.034" Properties=species:S:1:pos:R:3 pbc="T T T"
As -1.387 2.075 2.371
Cl -2.128 -0.196 4.607
Pt -3.152 -3.331 7.693
```

***

Sr3ZrCu | PBE | relaxed

- space-group type = Pm-3m, No. 221
- ΔH_f (0 K) (eV/atom) = 1.113
- theoretical density (Mg/m³) = 3.117
- E_tot (eV/atom) = -2.425
- polymorph energy (0 for the lowest one) (kcal/mol of atoms) = 13.126

```
5
Lattice="6.060 0.000 0.000 0.000 6.060 0.000 0.000 0.000 6.060" Properties=species:S:1:pos:R:3 pbc="T T T"
Sr 3.030 0.000 0.000
Cu 3.030 3.030 3.030
Sr 0.000 3.030 0.000
Zr 0.000 0.000 0.000
Sr 0.000 0.000 3.030
```

***

Ba3IrPb | PBE | relaxed

- space-group type = Pm-3m, No. 221
- ΔH_f (0 K) (eV/atom) = -0.204
- theoretical density (Mg/m³) = 6.141
- E_tot (eV/atom) = -3.871
- polymorph energy (0 for the lowest one) (kcal/mol of atoms) = 0.000

```
5
Lattice="6.031 0.000 0.000 0.000 6.031 0.000 0.000 0.000 6.031" Properties=species:S:1:pos:R:3 pbc="T T T"
Ir 0.000 0.000 0.000
Ba 0.000 3.016 0.000
Ba 0.000 0.000 3.016
Pb 3.016 3.016 3.016
Ba 3.016 0.000 0.000
```

***

Sc2TiGa2 | PBE | relaxed

- space-group type = I4/mmm, No. 139
- ΔH_f (0 K) (eV/atom) = 0.115
- theoretical density (Mg/m³) = 4.287
- E_tot (eV/atom) = -5.208
- polymorph energy (0 for the lowest one) (kcal/mol of atoms) = 12.529

```
5
Lattice="3.664 0.000 0.000 0.000 3.664 0.000 1.832 1.832 8.000" Properties=species:S:1:pos:R:3 pbc="T T T"
Ti 0.000 0.000 0.000
Ga 3.664 1.832 4.000
Sc 1.832 1.832 1.598
Ga 1.832 3.664 4.000
Sc 3.664 3.664 6.402
```

***

Na2MnCo | PBE | relaxed

- space-group type = Fm-3m, No. 225
- ΔH_f (0 K) (eV/atom) = 1.021
- theoretical density (Mg/m³) = 3.296
- E_tot (eV/atom) = -3.708
- polymorph energy (0 for the lowest one) (kcal/mol of atoms) = 1.339

```
4
Lattice="-0.595 0.969 4.712 -0.415 4.592 1.497 -4.263 1.647 1.617" Properties=species:S:1:pos:R:3 pbc="T T T"
Na -3.954 5.406 5.869
Co -2.636 3.604 3.913
Mn 0.000 0.000 0.000
Na -1.318 1.802 1.956
```

***

Ce2InGaIr | PBE | relaxed

- space-group type = P2_1/m, No. 11
- ΔH_f (0 K) (eV/atom) = -0.550
- theoretical density (Mg/m³) = 8.937
- E_tot (eV/atom) = -5.849

```
10
Lattice="4.414 0.000 0.000 0.000 7.416 0.383 0.000 -2.685 7.320" Properties=species:S:1:pos:R:3 pbc="T T T"
Ga 1.103 2.315 5.214
Ce 1.103 -0.407 7.161
Ga 3.310 2.416 2.489
In 1.103 4.070 2.808
Ir 3.310 0.645 0.673
Ir 1.103 4.086 7.030
In 3.310 0.660 4.895
Ce 3.310 4.694 5.220
Ce 1.103 0.037 2.484
Ce 3.310 5.137 0.542
```

***

ZnCuAu2 | PBE | relaxed

- space-group type = Cm, No. 8
- ΔH_f (0 K) (eV/atom) = -0.123
- theoretical density (Mg/m³) = 13.832
- E_tot (eV/atom) = -3.104

```
4
Lattice="5.025 -0.034 0.136 4.101 2.905 0.136 1.268 0.399 4.297" Properties=species:S:1:pos:R:3 pbc="T T T"
Zn 7.960 2.504 3.544
Au 2.527 0.795 1.347
Cu 5.035 1.584 2.156
Au 1.335 0.420 4.103
```

***

CdInBiS4 | PBE | relaxed

- space-group type = Imma, No. 74
- theoretical density (Mg/m³) = 5.206
- raw formation energy (eV/atom) = -0.49
- E_tot (eV/atom) = -3.927

```
14
Lattice="-3.555 5.853 -4.088 -7.221 2.604 2.228 -0.825 7.234 3.296" Properties=species:S:1:pos:R:3 pbc="T T T"
S -7.078 8.738 3.108
S -3.227 7.456 1.864
Bi -4.023 4.919 2.762
Cd -4.761 9.501 2.184
In -0.412 3.617 1.648
Bi 0.000 0.000 0.000
In -2.190 6.544 -0.396
S -8.845 11.655 1.040
S -5.028 10.421 -0.207
S -4.521 6.954 -1.671
Cd -6.839 6.191 -0.748
S -6.572 5.271 1.643
S -8.372 8.236 -0.428
S -2.755 4.037 0.396
```